Record 1
Ti4SbAu | PBE | relaxed

Results
Formation energy (no corrections) ... -0.05 eV per atom
Total magnetic moment ... 6.09 μB per cell
SG ... C2/c

abc: 7.715 7.715 6.517
angles: 99.36 99.36 38.06
Atoms (fractional coordinates):
Ti 0.050 0.810 0.578
Ti 0.174 0.513 0.898
Ti 0.190 0.950 0.922
Ti 0.487 0.826 0.602
Ti 0.513 0.174 0.398
Ti 0.810 0.050 0.078
Ti 0.826 0.487 0.102
Ti 0.950 0.190 0.422
Sb 0.378 0.622 0.250
Sb 0.622 0.378 0.750
Au 0.000 0.500 0.500
Au 0.500 0.000 0.000

***

Record 2
Ti2SbAu2 | PBE | relaxed

Results
Formation energy (no corrections) ... -0.01 eV per atom
E above lowest polymorph ... 205 meV/atom
Total magnetic moment ... 2.17 μB per cell
SG ... I4/mmm

abc: 6.751 6.751 6.751
angles: 143.92 143.92 51.95
Atoms (fractional coordinates):
Ti 0.250 0.750 0.500
Ti 0.750 0.250 0.500
Sb 0.000 0.000 0.000
Au 0.389 0.389 0.000
Au 0.611 0.611 0.000

***

Record 3
TiSb2Au | PBE | relaxed

Results
Formation energy (no corrections) ... -0.14 eV per atom
Total magnetic moment ... 0.00 μB per cell
SG ... R-3m

abc: 9.560 9.560 9.560
angles: 20.29 20.29 20.29
Atoms (fractional coordinates):
Ti 0.000 0.000 0.000
Sb 0.406 0.406 0.406
Sb 0.594 0.594 0.594
Au 0.500 0.500 0.500

***

Record 4
Ti6SbAu | PBE | relaxed

Results
Formation energy (no corrections) ... -0.31 eV per atom
Total magnetic moment ... 0.00 μB per cell
SG ... P-6m2

abc: 5.784 5.784 4.788
angles: 90.00 90.00 120.00
Atoms (fractional coordinates):
Ti 0.167 0.335 0.000
Ti 0.167 0.833 0.000
Ti 0.330 0.165 0.500
Ti 0.665 0.833 0.000
Ti 0.835 0.165 0.500
Ti 0.835 0.670 0.500
Sb 0.333 0.667 0.500
Au 0.667 0.333 0.000

***

Record 5
TiSbAu3 | PBE | relaxed

Results
Formation energy (no corrections) ... 0.63 eV per atom
E above lowest polymorph ... 0 meV/atom
Total magnetic moment ... 1.18 μB per cell
SG ... Pm-3m

abc: 4.991 4.991 4.991
angles: 90.00 90.00 90.00
Atoms (fractional coordinates):
Ti 0.000 0.000 0.000
Sb 0.500 0.500 0.500
Au 0.000 0.000 0.500
Au 0.000 0.500 0.000
Au 0.500 0.000 0.000

***

Record 6
TiSb2Au | PBE | relaxed

Results
Formation energy (no corrections) ... 0.19 eV per atom
Total magnetic moment ... 0.00 μB per cell
SG ... I-42d

abc: 6.918 6.918 6.918
angles: 120.64 120.64 88.89
Atoms (fractional coordinates):
Ti 0.000 0.000 0.000
Ti 0.750 0.250 0.500
Sb 0.125 0.625 0.000
Sb 0.375 0.375 0.500
Sb 0.625 0.125 0.000
Sb 0.875 0.875 0.500
Au 0.250 0.750 0.500
Au 0.500 0.500 0.000

***

Record 7
TiSb2Au | PBE | relaxed

Results
Formation energy (no corrections) ... 0.11 eV per atom
Total magnetic moment ... 0.00 μB per cell
SG ... Fm-3m

abc: 4.966 4.966 4.966
angles: 60.00 60.00 60.00
Atoms (fractional coordinates):
Ti 0.000 0.000 0.000
Sb 0.250 0.250 0.250
Sb 0.750 0.750 0.750
Au 0.500 0.500 0.500

***

Record 8
Ti3SbAu | PBE | relaxed

Results
Formation energy (no corrections) ... 0.04 eV per atom
E above lowest polymorph ... 0 meV/atom
Total magnetic moment ... 3.95 μB per cell
SG ... Cmcm

abc: 6.641 6.641 5.249
angles: 90.00 90.00 119.89
Atoms (fractional coordinates):
Ti 0.203 0.797 0.750
Ti 0.204 0.405 0.750
Ti 0.405 0.204 0.250
Ti 0.595 0.796 0.750
Ti 0.796 0.595 0.250
Ti 0.797 0.203 0.250
Sb 0.333 0.667 0.250
Sb 0.667 0.333 0.750
Au 0.000 0.000 0.000
Au 0.000 0.000 0.500

***

Record 9
TiSb3Au | PBE | relaxed

Results
Formation energy (no corrections) ... 0.86 eV per atom
E above lowest polymorph ... 567 meV/atom
Total magnetic moment ... 0.07 μB per cell
SG ... Pm-3m

abc: 5.322 5.322 5.322
angles: 90.00 90.00 90.00
Atoms (fractional coordinates):
Ti 0.000 0.000 0.000
Sb 0.000 0.500 0.500
Sb 0.500 0.000 0.500
Sb 0.500 0.500 0.000
Au 0.500 0.500 0.500

***

Record 10
TiSbAu3 | PBE | relaxed

Results
Formation energy (no corrections) ... 0.81 eV per atom
E above lowest polymorph ... 189 meV/atom
Total magnetic moment ... 0.09 μB per cell
SG ... Pm-3m

abc: 5.124 5.124 5.124
angles: 90.00 90.00 90.00
Atoms (fractional coordinates):
Ti 0.000 0.000 0.000
Sb 0.500 0.500 0.500
Au 0.000 0.500 0.500
Au 0.500 0.000 0.500
Au 0.500 0.500 0.000

***

Record 11
Ti2SbAu2 | PBE | relaxed

Results
Formation energy (no corrections) ... -0.17 eV per atom
E above lowest polymorph ... 40 meV/atom
Total magnetic moment ... 0.00 μB per cell
SG ... P4/mbm

abc: 7.882 7.882 3.099
angles: 90.00 90.00 90.00
Atoms (fractional coordinates):
Ti 0.165 0.335 0.000
Ti 0.335 0.835 0.000
Ti 0.665 0.165 0.000
Ti 0.835 0.665 0.000
Sb 0.000 0.000 0.500
Sb 0.500 0.500 0.500
Au 0.129 0.629 0.500
Au 0.371 0.129 0.500
Au 0.629 0.871 0.500
Au 0.871 0.371 0.500

***

Record 12
Ti3SbAu | PBE | relaxed

Results
Formation energy (no corrections) ... 0.45 eV per atom
E above lowest polymorph ... 410 meV/atom
Total magnetic moment ... 1.23 μB per cell
SG ... Pm-3m

abc: 4.890 4.890 4.890
angles: 90.00 90.00 90.00
Atoms (fractional coordinates):
Ti 0.000 0.000 0.500
Ti 0.000 0.500 0.000
Ti 0.500 0.000 0.000
Sb 0.500 0.500 0.500
Au 0.000 0.000 0.000

***

These records have energy values of -6.550, -5.302, -4.998, -7.155, -3.745, -4.666, -4.748, -6.173, -3.848, -3.555, -5.467, -5.763 eV per atom, in the order they appear.